No. 1
{
  "formula": "LaSnOs",
  "functional": "PBE-GGA",
  "state": "optimized geometry",
  "e_form_kj_per_mol_atoms": -27.3,
  "crystal_system": "monoclinic",
  "energy_ev_per_atom": -7.00,
  "lattice_angstrom": [[5.490, -2.387, 0.000], [5.490, 2.387, 0.000], [-5.338, 0.000, 5.569]],
  "species": ["La", "La", "Sn", "Sn", "Os", "Os"],
  "frac_coords": [[0.000, 0.000, 0.000], [0.117, 0.117, 0.630], [0.399, 0.399, 0.596], [0.421, 0.421, 0.215], [0.733, 0.733, 0.046], [0.735, 0.735, 0.356]]
}

=====

No. 2
{
  "formula": "Nd8GeC3Br4",
  "functional": "PBE-GGA",
  "state": "optimized geometry",
  "raw_formation_energy_ev_per_atom": -0.91,
  "crystal_system": "trigonal",
  "energy_ev_per_atom": -5.73,
  "lattice_angstrom": [[3.953, 2.282, 7.445], [-3.953, 2.282, 7.445], [0.000, -4.564, 7.445]],
  "species": ["Nd", "Nd", "Nd", "Nd", "Nd", "Nd", "Nd", "Nd", "Ge", "C", "C", "C", "Br", "Br", "Br", "Br"],
  "frac_coords": [[0.204, 0.743, 0.743], [0.227, 0.227, 0.227], [0.257, 0.257, 0.796], [0.257, 0.796, 0.257], [0.743, 0.204, 0.743], [0.743, 0.743, 0.204], [0.773, 0.773, 0.773], [0.796, 0.257, 0.257], [0.500, 0.500, 0.500], [0.000, 0.000, 0.500], [0.000, 0.500, 0.000], [0.500, 0.000, 0.000], [0.000, 0.000, 0.000], [0.000, 0.500, 0.500], [0.500, 0.000, 0.500], [0.500, 0.500, 0.000]]
}

=====

No. 3
{
  "formula": "Ho2Tl2RuO6",
  "functional": "PBE-GGA",
  "state": "optimized geometry",
  "raw_formation_energy_ev_per_atom": -1.93,
  "crystal_system": "monoclinic",
  "energy_ev_per_atom": -6.74,
  "lattice_angstrom": [[2.882, -4.991, 0.000], [2.882, 4.991, 0.000], [-1.682, 0.000, 6.562]],
  "species": ["Ho", "Ho", "Tl", "Tl", "Ru", "O", "O", "O", "O", "O", "O"],
  "frac_coords": [[0.165, 0.835, 0.000], [0.835, 0.165, 0.000], [0.338, 0.662, 0.500], [0.662, 0.338, 0.500], [0.500, 0.500, 0.000], [0.145, 0.456, 0.838], [0.246, 0.246, 0.170], [0.456, 0.145, 0.838], [0.544, 0.855, 0.162], [0.754, 0.754, 0.830], [0.855, 0.544, 0.162]]
}

=====

No. 4
{
  "formula": "MnAlGeIr",
  "functional": "PBE-GGA",
  "state": "optimized geometry",
  "e_form_kj_per_mol_atoms": -27.1,
  "crystal_system": "cubic",
  "energy_ev_per_atom": -6.88,
  "lattice_angstrom": [[0.000, 2.983, 2.983], [2.983, 0.000, 2.983], [2.983, 2.983, 0.000]],
  "species": ["Mn", "Al", "Ge", "Ir"],
  "frac_coords": [[0.000, 0.000, 0.000], [0.250, 0.250, 0.250], [0.750, 0.750, 0.750], [0.500, 0.500, 0.500]]
}

=====

| no. | spin magnetization (μB/cell) |
| --- | --- |
| 1 | 0.00 |
| 2 | 0.00 |
| 3 | 2.00 |
| 4 | 0.54 |